Record 1
{
  "formula": "MnCuPb2",
  "functional": "PBE",
  "state": "optimized geometry",
  "magnetic_moment_mub_per_cell": 8.127,
  "sg": "I-42d, No. 122",
  "total_energy_ev_per_atom": -4.649,
  "polymorph_energy_ev_per_atom": 0.272,
  "formation_enthalpy_0k_ev_per_atom": 0.521,
  "lattice": [[7.623, 0.000, 0.000], [0.000, 7.623, 0.000], [3.811, 3.811, 3.226]],
  "species": ["Pb", "Pb", "Pb", "Pb", "Mn", "Mn", "Cu", "Cu"],
  "fractional_positions": [[0.646, 0.125, 0.250], [0.104, 0.625, 0.250], [0.375, 0.354, 0.750], [0.875, 0.896, 0.750], [0.500, 0.500, 0.000], [0.250, 0.750, 0.500], [0.000, 0.000, 0.000], [0.750, 0.250, 0.500]]
}

=====

Record 2
{
  "formula": "MnCuPb2",
  "functional": "PBE",
  "state": "optimized geometry",
  "magnetic_moment_mub_per_cell": 3.755,
  "sg": "Cmmm, No. 65",
  "total_energy_ev_per_atom": -4.756,
  "polymorph_energy_ev_per_atom": 0.166,
  "formation_enthalpy_0k_ev_per_atom": 0.415,
  "lattice": [[-1.848, -1.902, 2.382], [-1.388, -1.317, -3.007], [4.861, -4.863, -0.113]],
  "species": ["Cu", "Mn", "Pb", "Pb"],
  "fractional_positions": [[0.500, 0.500, 0.250], [0.500, 0.500, 0.750], [0.000, 0.000, 0.006], [0.000, 0.000, 0.494]]
}

=====

Record 3
{
  "formula": "MnCuPb2",
  "functional": "PBE",
  "state": "optimized geometry",
  "magnetic_moment_mub_per_cell": 4.000,
  "sg": "P4mm, No. 99",
  "total_energy_ev_per_atom": -4.922,
  "polymorph_energy_ev_per_atom": 0.000,
  "formation_enthalpy_0k_ev_per_atom": 0.249,
  "lattice": [[-1.717, 2.798, 0.355], [-1.008, -0.221, -3.137], [-6.581, -4.346, 2.419]],
  "species": ["Cu", "Mn", "Pb", "Pb"],
  "fractional_positions": [[0.000, 0.000, 0.553], [0.500, 0.500, 0.694], [0.000, 0.000, 0.936], [0.500, 0.500, 0.317]]
}

=====

Record 4
{
  "formula": "MnCuPb2",
  "functional": "PBE",
  "state": "optimized geometry",
  "magnetic_moment_mub_per_cell": 3.920,
  "sg": "Fm-3m, No. 225",
  "total_energy_ev_per_atom": -4.734,
  "polymorph_energy_ev_per_atom": 0.187,
  "formation_enthalpy_0k_ev_per_atom": 0.436,
  "lattice": [[0.000, 3.523, 3.523], [3.523, 0.000, 3.523], [3.523, 3.523, 0.000]],
  "species": ["Pb", "Pb", "Mn", "Cu"],
  "fractional_positions": [[0.250, 0.250, 0.250], [0.750, 0.750, 0.750], [0.000, 0.000, 0.000], [0.500, 0.500, 0.500]]
}

=====

Record 5
{
  "formula": "MnCuPb2",
  "functional": "PBE",
  "state": "optimized geometry",
  "magnetic_moment_mub_per_cell": 4.044,
  "sg": "C2/m, No. 12",
  "total_energy_ev_per_atom": -4.732,
  "polymorph_energy_ev_per_atom": 0.190,
  "formation_enthalpy_0k_ev_per_atom": 0.439,
  "lattice": [[-1.444, -1.903, 4.051], [1.072, -3.813, 2.536], [3.978, 2.173, 3.867]],
  "species": ["Cu", "Mn", "Pb", "Pb"],
  "fractional_positions": [[0.750, 0.750, 0.750], [0.250, 0.250, 0.250], [0.005, 0.005, 0.992], [0.495, 0.495, 0.508]]
}

=====

Record 6
{
  "formula": "MnCuPb2",
  "functional": "PBE",
  "state": "optimized geometry",
  "magnetic_moment_mub_per_cell": 4.377,
  "sg": "F-43m, No. 216",
  "total_energy_ev_per_atom": -4.585,
  "polymorph_energy_ev_per_atom": 0.336,
  "formation_enthalpy_0k_ev_per_atom": 0.585,
  "lattice": [[5.085, 0.000, 0.000], [2.543, 4.404, 0.000], [2.543, 1.468, 4.152]],
  "species": ["Cu", "Mn", "Pb", "Pb"],
  "fractional_positions": [[0.500, 0.500, 0.500], [0.250, 0.250, 0.250], [0.000, 0.000, 0.000], [0.750, 0.750, 0.750]]
}

=====

Record 7
{
  "formula": "MnCuPb2",
  "functional": "PBE",
  "state": "optimized geometry",
  "magnetic_moment_mub_per_cell": 3.619,
  "sg": "R-3m, No. 166",
  "total_energy_ev_per_atom": -4.725,
  "polymorph_energy_ev_per_atom": 0.197,
  "formation_enthalpy_0k_ev_per_atom": 0.446,
  "lattice": [[-2.234, 7.245, -4.757], [-5.309, 5.902, -4.134], [-3.813, 7.894, -1.802]],
  "species": ["Cu", "Mn", "Pb", "Pb"],
  "fractional_positions": [[0.250, 0.250, 0.250], [0.750, 0.750, 0.750], [0.997, 0.997, 0.997], [0.503, 0.503, 0.503]]
}

=====

Record 8
{
  "formula": "MnCuPb2",
  "functional": "PBE",
  "state": "optimized geometry",
  "magnetic_moment_mub_per_cell": 3.751,
  "sg": "Pmmm, No. 47",
  "total_energy_ev_per_atom": -4.746,
  "polymorph_energy_ev_per_atom": 0.175,
  "formation_enthalpy_0k_ev_per_atom": 0.424,
  "lattice": [[3.434, 0.000, 0.000], [0.000, 3.669, 0.000], [0.000, 0.000, 6.804]],
  "species": ["Cu", "Mn", "Pb", "Pb"],
  "fractional_positions": [[0.500, 0.500, 0.250], [0.500, 0.500, 0.750], [0.000, 0.000, 0.006], [0.000, 0.000, 0.494]]
}